[1]
{
  "formula": "Sc4In",
  "functional": "SCAN",
  "state": "single point on PBEsol structure",
  "lattice_angstrom": [[-3.550, 3.550, 2.222], [3.550, -3.550, 2.222], [3.550, 3.550, -2.222]],
  "species": ["Sc", "Sc", "Sc", "Sc", "In"],
  "fractional_positions": [[0.108, 0.695, 0.803], [0.305, 0.108, 0.413], [0.695, 0.892, 0.587], [0.892, 0.305, 0.197], [0.500, 0.500, 0.000]],
  "energy_ev_per_cell": -91.45,
  "formation_energy_mev_per_atom": -223,
  "volume_a3_per_atom": 22.404
}

[2]
{
  "formula": "Sc3In",
  "functional": "SCAN",
  "state": "single point on PBEsol structure",
  "lattice_angstrom": [[4.453, 0.000, 0.000], [0.000, 4.453, 0.000], [0.000, 0.000, 4.453]],
  "species": ["Sc", "Sc", "Sc", "In"],
  "fractional_positions": [[0.000, 0.000, 0.500], [0.000, 0.500, 0.000], [0.500, 0.000, 0.000], [0.500, 0.500, 0.500]],
  "energy_ev_per_cell": -77.68,
  "formation_energy_mev_per_atom": -395,
  "volume_a3_per_atom": 22.074
}

[3]
{
  "formula": "Sc5In",
  "functional": "SCAN",
  "state": "single point on PBEsol structure",
  "lattice_angstrom": [[5.806, -1.618, 0.000], [5.806, 1.618, 0.000], [-1.848, 0.000, 7.274]],
  "species": ["Sc", "Sc", "Sc", "Sc", "Sc", "In"],
  "fractional_positions": [[0.000, 0.000, 0.000], [0.042, 0.042, 0.613], [0.392, 0.392, 0.275], [0.667, 0.667, 0.342], [0.720, 0.720, 0.941], [0.325, 0.325, 0.663]],
  "energy_ev_per_cell": -105.77,
  "formation_energy_mev_per_atom": -200,
  "volume_a3_per_atom": 22.776
}

[4]
{
  "formula": "ScIn3",
  "functional": "SCAN",
  "state": "single point on PBEsol structure",
  "lattice_angstrom": [[3.848, 0.000, 0.000], [0.000, 3.848, 0.000], [0.000, 0.000, 6.212]],
  "species": ["Sc", "In", "In", "In"],
  "fractional_positions": [[0.000, 0.000, 0.000], [0.000, 0.000, 0.500], [0.500, 0.500, 0.245], [0.500, 0.500, 0.755]],
  "energy_ev_per_cell": -115.42,
  "formation_energy_mev_per_atom": -255,
  "volume_a3_per_atom": 22.999
}